1.
Computed, not measured: a relaxed structure of CdBiPb2 at the PBE-GGA level of DFT.

M_tot	0.0	μB per cell
energy above the most stable polymorph in this dataset	186	meV per atom

Geometry as POSCAR:
```
CdBiPb2
1.0
-3.5647 3.5647 6.5449
3.5647 -3.5647 6.5449
3.5647 3.5647 -6.5449
Cd Bi Pb
2 2 4
Cartesian
0.0000 0.0000 0.0000
0.0000 3.5647 3.2725
3.5647 0.0000 3.2725
0.0000 0.0000 6.5449
5.3470 1.6853 -1.6362
1.6853 1.7823 1.6362
-1.7823 1.8793 4.9087
1.8793 1.7823 8.1812
```


2.
Computed, not measured: a relaxed structure of Cd5Bi2Pb5 at the PBE-GGA level of DFT.

VASP energy	-2.515	eV/atom
M_tot	0.0	μB per cell

Geometry as POSCAR:
```
Cd5Bi2Pb5
1.0
8.2502 -2.6805 0.0000
8.2502 2.6805 0.0000
-5.4748 0.0000 7.7977
Cd Bi Pb
5 2 5
Cartesian
0.0000 0.0000 0.0000
-3.0487 0.0000 5.9972
2.2854 0.0000 2.0068
8.7402 0.0000 5.7909
14.0743 0.0000 1.8005
-0.3691 0.0000 4.3267
11.3948 0.0000 3.4710
5.2426 0.0000 0.0372
2.7283 0.0000 5.9148
5.5128 0.0000 3.8989
8.2974 0.0000 1.8829
5.7830 0.0000 7.7605
```


3.
Computed, not measured: a relaxed structure of CdBi4Pb5 at the PBE-GGA level of DFT.

M_tot	0.0	μB per cell
energy above the most stable polymorph in this dataset	28	meV per atom

Geometry as POSCAR:
```
CdBi4Pb5
1.0
9.2848 -2.1893 0.0000
9.2848 2.1893 0.0000
-0.7614 0.0000 8.0526
Cd Bi Pb
1 4 5
Cartesian
0.0000 0.0000 0.0000
3.3585 0.0000 0.1312
7.5591 0.0000 6.1488
10.2492 0.0000 1.9039
14.4498 0.0000 7.9215
-0.3807 0.0000 4.0263
4.4304 0.0000 5.3146
6.8027 0.0000 2.4268
11.0056 0.0000 5.6258
13.3779 0.0000 2.7381
```


4.
Computed, not measured: a relaxed structure of CdBiPb2 at the PBE-GGA level of DFT.

M_tot	0.0	μB per cell
energy above the most stable polymorph in this dataset	28	meV per atom

Geometry as POSCAR:
```
CdBiPb2
1.0
0.0000 3.9453 3.9453
3.9453 0.0000 3.9453
3.9453 3.9453 0.0000
Cd Bi Pb
1 1 2
Cartesian
0.0000 0.0000 0.0000
3.9453 3.9453 3.9453
1.9727 1.9727 1.9727
5.9180 5.9180 5.9180
```


5.
Computed, not measured: a relaxed structure of CdBiPb2 at the PBE-GGA level of DFT.

M_tot	0.0	μB per cell
energy above the most stable polymorph in this dataset	20	meV per atom

Geometry as POSCAR:
```
CdBiPb2
1.0
5.1288 0.0000 0.0000
0.0000 5.1288 0.0000
0.0000 0.0000 4.5965
Cd Bi Pb
1 1 2
Cartesian
0.0000 0.0000 0.0000
2.5644 2.5644 0.0000
0.0000 2.5644 2.2983
2.5644 0.0000 2.2983
```


6.
Computed, not measured: a relaxed structure of CdBi6Pb12 at the PBE-GGA level of DFT.

M_tot	0.0	μB per cell
energy above the most stable polymorph in this dataset	0	meV per atom

Geometry as POSCAR:
```
CdBi6Pb12
1.0
7.8260 4.5183 2.8402
-7.8260 4.5183 2.8402
0.0000 -9.0367 2.8402
Cd Bi Pb
1 6 12
Cartesian
0.0000 0.0000 0.0000
-4.0395 -0.3342 2.9226
2.3092 -3.3312 2.9226
-1.7303 -3.6654 5.5981
1.7303 3.6654 2.9226
-2.3092 3.3312 5.5981
4.0395 0.3343 5.5981
-0.3788 -5.4115 2.9377
-4.4971 3.0338 2.9377
-0.8662 -1.8790 2.8057
-4.8759 -2.3777 5.5830
-1.1941 1.6897 2.8057
2.0604 0.1893 2.8057
-2.0603 -0.1893 5.7150
1.1941 -1.6897 5.7150
4.8759 2.3777 2.9377
0.8662 1.8790 5.7150
4.4971 -3.0338 5.5830
0.3788 5.4115 5.5830
```


7.
Computed, not measured: a relaxed structure of Cd4Bi4Pb3 at the PBE-GGA level of DFT.

VASP energy	-2.693	eV/atom
M_tot	0.0	μB per cell

Geometry as POSCAR:
```
Cd4Bi4Pb3
1.0
-2.2291 4.4842 8.4783
2.2291 -4.4842 8.4783
2.2291 4.4842 -8.4783
Cd Bi Pb
4 4 3
Cartesian
2.2291 -2.3063 5.3839
0.0000 2.1779 3.0944
2.2291 2.3063 5.3839
0.0000 6.7905 3.0944
2.2291 0.0000 3.3104
0.0000 2.5133 0.0000
0.0000 6.4551 0.0000
0.0000 4.4842 5.1679
2.2291 0.0000 0.0000
0.0000 0.0000 6.7102
0.0000 0.0000 10.2464
```


8.
Computed, not measured: a relaxed structure of Cd3Bi2Pb2 at the PBE-GGA level of DFT.

M_tot	0.0	μB per cell
energy above the most stable polymorph in this dataset	0	meV per atom

Geometry as POSCAR:
```
Cd3Bi2Pb2
1.0
2.2489 -13.2054 0.0000
2.2489 13.2054 0.0000
0.0000 0.0000 3.3878
Cd Bi Pb
3 2 2
Cartesian
0.0000 0.0000 0.0000
2.2489 1.5360 1.6939
2.2489 -1.5360 1.6939
2.2489 5.4978 1.6939
2.2489 -5.4978 1.6939
2.2489 9.8996 0.0000
2.2489 -9.8996 0.0000
```


9.
Computed, not measured: a relaxed structure of Cd3BiPb3 at the PBE-GGA level of DFT.

M_tot	2.6	μB per cell
energy above the most stable polymorph in this dataset	537	meV per atom

Geometry as POSCAR:
```
Cd3BiPb3
1.0
8.2177 0.0000 0.0000
0.0000 8.2177 0.0000
0.0000 0.0000 8.2177
Cd Bi Pb
6 2 6
Cartesian
0.0000 2.0544 4.1088
0.0000 6.1633 4.1088
2.0544 4.1088 0.0000
4.1088 0.0000 2.0544
4.1088 0.0000 6.1633
6.1633 4.1088 0.0000
0.0000 0.0000 0.0000
4.1088 4.1088 4.1088
0.0000 4.1088 2.0544
0.0000 4.1088 6.1633
2.0544 0.0000 4.1088
4.1088 2.0544 0.0000
4.1088 6.1633 0.0000
6.1633 0.0000 4.1088
```


10.
Computed, not measured: a relaxed structure of CdBi4Pb5 at the PBE-GGA level of DFT.

M_tot	0.0	μB per cell
energy above the most stable polymorph in this dataset	0	meV per atom

Geometry as POSCAR:
```
CdBi4Pb5
1.0
3.6214 0.0000 0.0000
0.0000 3.6214 0.0000
0.0000 0.0000 23.8414
Cd Bi Pb
1 4 5
Cartesian
0.0000 0.0000 0.0000
0.0000 0.0000 4.5778
0.0000 0.0000 9.4524
0.0000 0.0000 14.3889
0.0000 0.0000 19.2636
1.8107 1.8107 2.1455
1.8107 1.8107 6.9946
1.8107 1.8107 11.9207
1.8107 1.8107 16.8468
1.8107 1.8107 21.6959
```


11.
Computed, not measured: a relaxed structure of CdBi3Pb at the PBE-GGA level of DFT.

M_tot	0.0	μB per cell
energy above the most stable polymorph in this dataset	437	meV per atom

Geometry as POSCAR:
```
CdBi3Pb
1.0
5.6831 0.0000 0.0000
0.0000 5.6831 0.0000
0.0000 0.0000 5.6831
Cd Bi Pb
1 3 1
Cartesian
0.0000 0.0000 0.0000
0.0000 0.0000 2.8415
0.0000 2.8415 0.0000
2.8415 0.0000 0.0000
2.8415 2.8415 2.8415
```


12.
Computed, not measured: a relaxed structure of Cd3BiPb at the PBE-GGA level of DFT.

M_tot	0.0	μB per cell
energy above the most stable polymorph in this dataset	456	meV per atom

Geometry as POSCAR:
```
Cd3BiPb
1.0
5.7185 0.0000 0.0000
0.0000 5.7185 0.0000
0.0000 0.0000 5.7185
Cd Bi Pb
3 1 1
Cartesian
0.0000 0.0000 2.8592
0.0000 2.8592 0.0000
2.8592 0.0000 0.0000
0.0000 0.0000 0.0000
2.8592 2.8592 2.8592
```